(1)
The following is a GGA-PBE calculation of crystalline CdTeP2 at its relaxed geometry, from the Alexandria database.

Structure (CIF):
```
data_CdTeP2
_chemical_formula_sum 'Cd2 Te2 P4'
_space_group_name_H-M_alt 'C m m 2'
_space_group_IT_number 35
_space_group_name_Hall 'C 2 -2'
_cell_length_a 3.2049
_cell_length_b 5.3595
_cell_length_c 11.6144
_cell_angle_alpha 90.00
_cell_angle_beta 90.00
_cell_angle_gamma 90.00
loop_
_atom_site_label
_atom_site_type_symbol
_atom_site_fract_x
_atom_site_fract_y
_atom_site_fract_z
Cd1 Cd 0.0000 0.0000 0.0000
Te1 Te 0.0000 0.5000 0.2802
P1 P 0.0000 0.0000 0.6028
P2 P 0.0000 0.5000 0.7312
```

Values from the calculation:
crystal system	orthorhombic
density	5.03	Mg/m³
Fermi-level density of states	3.836	states/eV/cell

(2)
The following is a GGA-PBE calculation of crystalline CdTeP2 at its relaxed geometry, from the Alexandria database.

Structure (CIF):
```
data_CdTeP2
_chemical_formula_sum 'Cd1 Te1 P2'
_space_group_name_H-M_alt 'P m m 2'
_space_group_IT_number 25
_space_group_name_Hall 'P 2 -2'
_cell_length_a 3.1632
_cell_length_b 3.2647
_cell_length_c 8.9324
_cell_angle_alpha 90.00
_cell_angle_beta 90.00
_cell_angle_gamma 90.00
loop_
_atom_site_label
_atom_site_type_symbol
_atom_site_fract_x
_atom_site_fract_y
_atom_site_fract_z
Cd1 Cd 0.0000 0.0000 0.0000
Te1 Te 0.5000 0.5000 0.6917
P1 P 0.0000 0.0000 0.3181
P2 P 0.5000 0.5000 0.3857
```

Values from the calculation:
crystal system	orthorhombic
density	5.44	Mg/m³
Fermi-level density of states	1.319	states/eV/cell

(3)
The following is a GGA-PBE calculation of crystalline CdTeP2 at its relaxed geometry, from the Alexandria database.

Structure (CIF):
```
data_CdTeP2
_chemical_formula_sum 'Cd4 Te4 P8'
_space_group_name_H-M_alt 'I -4 2 d'
_space_group_IT_number 122
_space_group_name_Hall 'I -4 2bw'
_cell_length_a 5.8281
_cell_length_b 5.8281
_cell_length_c 13.3582
_cell_angle_alpha 90.00
_cell_angle_beta 90.00
_cell_angle_gamma 90.00
loop_
_atom_site_label
_atom_site_type_symbol
_atom_site_fract_x
_atom_site_fract_y
_atom_site_fract_z
Cd1 Cd 0.0000 0.0000 0.0000
Te1 Te 0.0000 0.0000 0.5000
P1 P 0.2457 0.2500 0.1250
```

Values from the calculation:
crystal system	tetragonal
density	4.42	Mg/m³
Fermi-level density of states	3.597	states/eV/cell

(4)
The following is a GGA-PBE calculation of crystalline CdTeP2 at its relaxed geometry, from the Alexandria database.

Structure (CIF):
```
data_CdTeP2
_chemical_formula_sum 'Cd2 Te2 P4'
_space_group_name_H-M_alt 'I -4 m 2'
_space_group_IT_number 119
_space_group_name_Hall 'I -4 -2'
_cell_length_a 3.8316
_cell_length_b 3.8316
_cell_length_c 12.4329
_cell_angle_alpha 90.00
_cell_angle_beta 90.00
_cell_angle_gamma 90.00
loop_
_atom_site_label
_atom_site_type_symbol
_atom_site_fract_x
_atom_site_fract_y
_atom_site_fract_z
Cd1 Cd 0.0000 0.0000 0.0000
Te1 Te 0.0000 0.5000 0.2500
P1 P 0.0000 0.0000 0.5000
P2 P 0.0000 0.5000 0.7500
```

Values from the calculation:
crystal system	tetragonal
density	5.49	Mg/m³
Fermi-level density of states	5.612	states/eV/cell

What is the stability order? It is (2), (1), (3), (4), from most stable to least stable.

(1)
The following is a GGA-PBE calculation of crystalline CdTe3P at its relaxed geometry, from the Alexandria database.

Structure (CIF):
```
data_CdTe3P
_chemical_formula_sum 'Cd1 Te3 P1'
_space_group_name_H-M_alt 'P m -3 m'
_space_group_IT_number 221
_space_group_name_Hall '-P 4 2 3'
_cell_length_a 5.2831
_cell_length_b 5.2831
_cell_length_c 5.2831
_cell_angle_alpha 90.00
_cell_angle_beta 90.00
_cell_angle_gamma 90.00
loop_
_atom_site_label
_atom_site_type_symbol
_atom_site_fract_x
_atom_site_fract_y
_atom_site_fract_z
Cd1 Cd 0.0000 0.0000 0.0000
Te1 Te 0.0000 0.5000 0.5000
P1 P 0.5000 0.5000 0.5000
```

Values from the calculation:
crystal system	cubic
density	5.93	Mg/m³
Fermi-level density of states	3.914	states/eV/cell

(2)
The following is a GGA-PBE calculation of crystalline CdTe3P at its relaxed geometry, from the Alexandria database.

Structure (CIF):
```
data_CdTe3P
_chemical_formula_sum 'Cd1 Te3 P1'
_space_group_name_H-M_alt 'P m -3 m'
_space_group_IT_number 221
_space_group_name_Hall '-P 4 2 3'
_cell_length_a 5.5534
_cell_length_b 5.5534
_cell_length_c 5.5534
_cell_angle_alpha 90.00
_cell_angle_beta 90.00
_cell_angle_gamma 90.00
loop_
_atom_site_label
_atom_site_type_symbol
_atom_site_fract_x
_atom_site_fract_y
_atom_site_fract_z
Cd1 Cd 0.0000 0.0000 0.0000
Te1 Te 0.0000 0.0000 0.5000
P1 P 0.5000 0.5000 0.5000
```

Values from the calculation:
crystal system	cubic
density	5.10	Mg/m³
Fermi-level density of states	5.253	states/eV/cell

What is the stability order? It is (1), (2), from most stable to least stable.

(1)
The following is a GGA-PBE calculation of crystalline Cd3TeP at its relaxed geometry, from the Alexandria database.

Structure (CIF):
```
data_Cd3TeP
_chemical_formula_sum 'Cd3 Te1 P1'
_space_group_name_H-M_alt 'P m -3 m'
_space_group_IT_number 221
_space_group_name_Hall '-P 4 2 3'
_cell_length_a 5.1261
_cell_length_b 5.1261
_cell_length_c 5.1261
_cell_angle_alpha 90.00
_cell_angle_beta 90.00
_cell_angle_gamma 90.00
loop_
_atom_site_label
_atom_site_type_symbol
_atom_site_fract_x
_atom_site_fract_y
_atom_site_fract_z
Cd1 Cd 0.0000 0.0000 0.5000
Te1 Te 0.5000 0.5000 0.5000
P1 P 0.0000 0.0000 0.0000
```

Values from the calculation:
crystal system	cubic
density	6.11	Mg/m³
Fermi-level density of states	2.258	states/eV/cell

(2)
The following is a GGA-PBE calculation of crystalline Cd3TeP at its relaxed geometry, from the Alexandria database.

Structure (CIF):
```
data_Cd3TeP
_chemical_formula_sum 'Cd3 Te1 P1'
_space_group_name_H-M_alt 'P m -3 m'
_space_group_IT_number 221
_space_group_name_Hall '-P 4 2 3'
_cell_length_a 5.5776
_cell_length_b 5.5776
_cell_length_c 5.5776
_cell_angle_alpha 90.00
_cell_angle_beta 90.00
_cell_angle_gamma 90.00
loop_
_atom_site_label
_atom_site_type_symbol
_atom_site_fract_x
_atom_site_fract_y
_atom_site_fract_z
Cd1 Cd 0.0000 0.0000 0.5000
Te1 Te 0.0000 0.0000 0.0000
P1 P 0.5000 0.5000 0.5000
```

Values from the calculation:
crystal system	cubic
density	4.74	Mg/m³
Fermi-level density of states	3.966	states/eV/cell

What is the stability order? It is (1), (2), from most stable to least stable.

(1)
The following is a GGA-PBE calculation of crystalline CdTeP at its relaxed geometry, from the Alexandria database.

Structure (CIF):
```
data_CdTeP
_chemical_formula_sum 'Cd2 Te2 P2'
_space_group_name_H-M_alt 'C 1 m 1'
_space_group_IT_number 8
_space_group_name_Hall 'C -2y'
_cell_length_a 11.2595
_cell_length_b 3.7387
_cell_length_c 3.8842
_cell_angle_alpha 90.00
_cell_angle_beta 94.89
_cell_angle_gamma 90.00
loop_
_atom_site_label
_atom_site_type_symbol
_atom_site_fract_x
_atom_site_fract_y
_atom_site_fract_z
Cd1 Cd 0.0000 0.0000 0.0000
Te1 Te 0.2439 0.0000 0.4939
P1 P 0.4595 0.0000 0.4955
```

Values from the calculation:
crystal system	monoclinic
density	5.52	Mg/m³
Fermi-level density of states	2.356	states/eV/cell

(2)
The following is a GGA-PBE calculation of crystalline CdTeP at its relaxed geometry, from the Alexandria database.

Structure (CIF):
```
data_CdTeP
_chemical_formula_sum 'Cd4 Te4 P4'
_space_group_name_H-M_alt 'F -4 3 m'
_space_group_IT_number 216
_space_group_name_Hall 'F -4 2 3'
_cell_length_a 6.7705
_cell_length_b 6.7705
_cell_length_c 6.7705
_cell_angle_alpha 90.00
_cell_angle_beta 90.00
_cell_angle_gamma 90.00
loop_
_atom_site_label
_atom_site_type_symbol
_atom_site_fract_x
_atom_site_fract_y
_atom_site_fract_z
Cd1 Cd 0.0000 0.0000 0.0000
Te1 Te 0.0000 0.0000 0.5000
P1 P 0.2500 0.2500 0.7500
```

Values from the calculation:
crystal system	cubic
density	5.80	Mg/m³
Fermi-level density of states	8.541	states/eV/cell

What is the stability order? It is (1), (2), from most stable to least stable.

(1)
The following is a GGA-PBE calculation of crystalline Ti3CdP at its relaxed geometry, from the Alexandria database.

Structure (CIF):
```
data_Ti3CdP
_chemical_formula_sum 'Ti3 Cd1 P1'
_space_group_name_H-M_alt 'P m -3 m'
_space_group_IT_number 221
_space_group_name_Hall '-P 4 2 3'
_cell_length_a 4.9271
_cell_length_b 4.9271
_cell_length_c 4.9271
_cell_angle_alpha 90.00
_cell_angle_beta 90.00
_cell_angle_gamma 90.00
loop_
_atom_site_label
_atom_site_type_symbol
_atom_site_fract_x
_atom_site_fract_y
_atom_site_fract_z
Ti1 Ti 0.0000 0.0000 0.5000
Cd1 Cd 0.0000 0.0000 0.0000
P1 P 0.5000 0.5000 0.5000
```

Values from the calculation:
crystal system	cubic
density	3.98	Mg/m³
Fermi-level density of states	5.045	states/eV/cell

(2)
The following is a GGA-PBE calculation of crystalline Ti3CdP at its relaxed geometry, from the Alexandria database.

Structure (CIF):
```
data_Ti3CdP
_chemical_formula_sum 'Ti3 Cd1 P1'
_space_group_name_H-M_alt 'P m -3 m'
_space_group_IT_number 221
_space_group_name_Hall '-P 4 2 3'
_cell_length_a 4.5736
_cell_length_b 4.5736
_cell_length_c 4.5736
_cell_angle_alpha 90.00
_cell_angle_beta 90.00
_cell_angle_gamma 90.00
loop_
_atom_site_label
_atom_site_type_symbol
_atom_site_fract_x
_atom_site_fract_y
_atom_site_fract_z
Ti1 Ti 0.0000 0.0000 0.5000
Cd1 Cd 0.5000 0.5000 0.5000
P1 P 0.0000 0.0000 0.0000
```

Values from the calculation:
crystal system	cubic
density	4.98	Mg/m³
Fermi-level density of states	6.737	states/eV/cell

What is the stability order? It is (2), (1), from most stable to least stable.

(1)
The following is a GGA-PBE calculation of crystalline TiCd3P at its relaxed geometry, from the Alexandria database.

Structure (CIF):
```
data_TiCd3P
_chemical_formula_sum 'Ti1 Cd3 P1'
_space_group_name_H-M_alt 'P m -3 m'
_space_group_IT_number 221
_space_group_name_Hall '-P 4 2 3'
_cell_length_a 5.3819
_cell_length_b 5.3819
_cell_length_c 5.3819
_cell_angle_alpha 90.00
_cell_angle_beta 90.00
_cell_angle_gamma 90.00
loop_
_atom_site_label
_atom_site_type_symbol
_atom_site_fract_x
_atom_site_fract_y
_atom_site_fract_z
Ti1 Ti 0.0000 0.0000 0.0000
Cd1 Cd 0.0000 0.0000 0.5000
P1 P 0.5000 0.5000 0.5000
```

Values from the calculation:
crystal system	cubic
density	4.43	Mg/m³
Fermi-level density of states	3.051	states/eV/cell

(2)
The following is a GGA-PBE calculation of crystalline TiCd3P at its relaxed geometry, from the Alexandria database.

Structure (CIF):
```
data_TiCd3P
_chemical_formula_sum 'Ti1 Cd3 P1'
_space_group_name_H-M_alt 'P m -3 m'
_space_group_IT_number 221
_space_group_name_Hall '-P 4 2 3'
_cell_length_a 4.9979
_cell_length_b 4.9979
_cell_length_c 4.9979
_cell_angle_alpha 90.00
_cell_angle_beta 90.00
_cell_angle_gamma 90.00
loop_
_atom_site_label
_atom_site_type_symbol
_atom_site_fract_x
_atom_site_fract_y
_atom_site_fract_z
Ti1 Ti 0.0000 0.0000 0.0000
Cd1 Cd 0.0000 0.5000 0.5000
P1 P 0.5000 0.5000 0.5000
```

Values from the calculation:
crystal system	cubic
density	5.53	Mg/m³
Fermi-level density of states	7.139	states/eV/cell

What is the stability order? It is (2), (1), from most stable to least stable.

(1)
The following is a GGA-PBE calculation of crystalline TlCdP2 at its relaxed geometry, from the Alexandria database.

Structure (CIF):
```
data_TlCdP2
_chemical_formula_sum 'Tl2 Cd2 P4'
_space_group_name_H-M_alt 'C m m m'
_space_group_IT_number 65
_space_group_name_Hall '-C 2 2'
_cell_length_a 4.2089
_cell_length_b 5.3212
_cell_length_c 7.8465
_cell_angle_alpha 90.00
_cell_angle_beta 90.00
_cell_angle_gamma 90.00
loop_
_atom_site_label
_atom_site_type_symbol
_atom_site_fract_x
_atom_site_fract_y
_atom_site_fract_z
Tl1 Tl 0.0000 0.0000 0.0000
Cd1 Cd 0.0000 0.0000 0.5000
P1 P 0.0000 0.5000 0.2854
```

Values from the calculation:
crystal system	orthorhombic
density	7.16	Mg/m³
Fermi-level density of states	4.544	states/eV/cell

(2)
The following is a GGA-PBE calculation of crystalline TlCdP2 at its relaxed geometry, from the Alexandria database.

Structure (CIF):
```
data_TlCdP2
_chemical_formula_sum 'Tl4 Cd4 P8'
_space_group_name_H-M_alt 'I -4 2 d'
_space_group_IT_number 122
_space_group_name_Hall 'I -4 2bw'
_cell_length_a 6.0317
_cell_length_b 6.0317
_cell_length_c 11.8772
_cell_angle_alpha 90.00
_cell_angle_beta 90.00
_cell_angle_gamma 90.00
loop_
_atom_site_label
_atom_site_type_symbol
_atom_site_fract_x
_atom_site_fract_y
_atom_site_fract_z
Tl1 Tl 0.0000 0.0000 0.0000
Cd1 Cd 0.0000 0.0000 0.5000
P1 P 0.2424 0.2500 0.6250
```

Values from the calculation:
crystal system	tetragonal
density	5.82	Mg/m³
Fermi-level density of states	11.497	states/eV/cell

(3)
The following is a GGA-PBE calculation of crystalline TlCdP2 at its relaxed geometry, from the Alexandria database.

Structure (CIF):
```
data_TlCdP2
_chemical_formula_sum 'Tl2 Cd2 P4'
_space_group_name_H-M_alt 'I -4 m 2'
_space_group_IT_number 119
_space_group_name_Hall 'I -4 -2'
_cell_length_a 4.8851
_cell_length_b 4.8851
_cell_length_c 7.0414
_cell_angle_alpha 90.00
_cell_angle_beta 90.00
_cell_angle_gamma 90.00
loop_
_atom_site_label
_atom_site_type_symbol
_atom_site_fract_x
_atom_site_fract_y
_atom_site_fract_z
Tl1 Tl 0.0000 0.0000 0.0000
Cd1 Cd 0.0000 0.5000 0.7500
P1 P 0.0000 0.0000 0.5000
P2 P 0.0000 0.5000 0.2500
```

Values from the calculation:
crystal system	tetragonal
density	7.49	Mg/m³
Fermi-level density of states	2.925	states/eV/cell

What is the stability order? It is (2), (1), (3), from most stable to least stable.

(1)
The following is a GGA-PBE calculation of crystalline TlCdP2 at its relaxed geometry, from the Alexandria database.

Structure (CIF):
```
data_TlCdP2
_chemical_formula_sum 'Tl1 Cd1 P2'
_space_group_name_H-M_alt 'P 4/m m m'
_space_group_IT_number 123
_space_group_name_Hall '-P 4 2'
_cell_length_a 3.7333
_cell_length_b 3.7333
_cell_length_c 6.7751
_cell_angle_alpha 90.00
_cell_angle_beta 90.00
_cell_angle_gamma 90.00
loop_
_atom_site_label
_atom_site_type_symbol
_atom_site_fract_x
_atom_site_fract_y
_atom_site_fract_z
Tl1 Tl 0.0000 0.0000 0.0000
Cd1 Cd 0.0000 0.0000 0.5000
P1 P 0.5000 0.5000 0.3380
```

Values from the calculation:
crystal system	tetragonal
density	6.66	Mg/m³
Fermi-level density of states	1.151	states/eV/cell

(2)
The following is a GGA-PBE calculation of crystalline TlCdP2 at its relaxed geometry, from the Alexandria database.

Structure (CIF):
```
data_TlCdP2
_chemical_formula_sum 'Tl2 Cd2 P4'
_space_group_name_H-M_alt 'I m m 2'
_space_group_IT_number 44
_space_group_name_Hall 'I 2 -2'
_cell_length_a 3.2830
_cell_length_b 5.7278
_cell_length_c 10.2145
_cell_angle_alpha 90.00
_cell_angle_beta 90.00
_cell_angle_gamma 90.00
loop_
_atom_site_label
_atom_site_type_symbol
_atom_site_fract_x
_atom_site_fract_y
_atom_site_fract_z
Tl1 Tl 0.0000 0.0000 0.0000
Cd1 Cd 0.0000 0.5000 0.2108
P1 P 0.0000 0.0000 0.4534
P2 P 0.0000 0.5000 0.8110
```

Values from the calculation:
crystal system	orthorhombic
density	6.55	Mg/m³
Fermi-level density of states	3.789	states/eV/cell

What is the stability order? It is (2), (1), from most stable to least stable.